# 1
The following is a DFT calculation (PBE-GGA) of TbPm6Nd2Dy3 after structural relaxation.

a b c (Å): 6.277 6.277 11.979
angles (deg): 95.01 95.01 119.99
Atoms (fractional coordinates):
Tb 0.000 0.000 0.000
Pm 0.084 0.417 0.253
Pm 0.248 0.248 0.747
Pm 0.417 0.084 0.253
Pm 0.583 0.916 0.747
Pm 0.752 0.752 0.253
Pm 0.916 0.583 0.747
Nd 0.333 0.667 0.000
Nd 0.667 0.333 0.000
Dy 0.166 0.834 0.500
Dy 0.500 0.500 0.500
Dy 0.834 0.166 0.500

Output
The calculation puts the magnetic moment at 0.00 μB per formula unit. For the total energy, the calculation gives -56.3 eV per cell. Its crystal system is monoclinic. For the density of states at the Fermi level, the calculation gives 15.8 states/eV/f.u.

=====

# 2
The following is a DFT calculation (PBE-GGA) of Ti2NiPt2 after structural relaxation.

a b c (Å): 7.106 7.106 3.156
angles (deg): 90.00 90.00 90.00
Atoms (fractional coordinates):
Ti 0.167 0.333 0.000
Ti 0.333 0.833 0.000
Ti 0.667 0.167 0.000
Ti 0.833 0.667 0.000
Ni 0.000 0.000 0.500
Ni 0.500 0.500 0.500
Pt 0.138 0.638 0.500
Pt 0.362 0.138 0.500
Pt 0.638 0.862 0.500
Pt 0.862 0.362 0.500

Output
The calculation puts the magnetic moment at 0.00 μB per formula unit. For the total energy, the calculation gives -73.4 eV per cell. Its crystal system is tetragonal. For the density of states at the Fermi level, the calculation gives 2.6 states/eV/f.u.

=====

# 3
The following is a DFT calculation (PBE-GGA) of Ac6SiN2Cl3 after structural relaxation.

a b c (Å): 9.862 9.862 8.940
angles (deg): 109.79 109.79 23.99
Atoms (fractional coordinates):
Ac 0.025 0.025 0.254
Ac 0.318 0.318 0.445
Ac 0.333 0.333 0.870
Ac 0.667 0.667 0.130
Ac 0.682 0.682 0.555
Ac 0.975 0.975 0.746
Si 0.500 0.500 0.000
N 0.175 0.175 0.343
N 0.825 0.825 0.657
Cl 0.159 0.159 0.827
Cl 0.500 0.500 0.500
Cl 0.841 0.841 0.173

Output
The calculation puts the magnetic moment at 0.00 μB per formula unit. For the total energy, the calculation gives -67.4 eV per cell. Its crystal system is monoclinic. For the density of states at the Fermi level, the calculation gives 4.3 states/eV/f.u. The calculation puts the formation energy without anion corrections at -1.264 eV per atom.

=====

# 4
The following is a DFT calculation (PBE-GGA) of MgRe2Ru after structural relaxation.

a b c (Å): 2.789 2.789 27.429
angles (deg): 90.00 90.00 120.00
Atoms (fractional coordinates):
Mg 0.000 0.000 0.000
Mg 0.333 0.667 0.667
Mg 0.667 0.333 0.333
Re 0.000 0.000 0.245
Re 0.000 0.000 0.755
Re 0.333 0.667 0.422
Re 0.333 0.667 0.911
Re 0.667 0.333 0.089
Re 0.667 0.333 0.578
Ru 0.000 0.000 0.500
Ru 0.333 0.667 0.167
Ru 0.667 0.333 0.833

Output
The calculation puts the magnetic moment at 0.00 μB per formula unit. For the total energy, the calculation gives -104.8 eV per cell. Its crystal system is trigonal. For the density of states at the Fermi level, the calculation gives 5.7 states/eV/f.u.

=====

# 5
The following is a DFT calculation (PBE-GGA) of Cu2AuCl after structural relaxation.

a b c (Å): 8.013 3.222 6.655
angles (deg): 90.00 113.90 90.00
Atoms (fractional coordinates):
Cu 0.000 0.000 0.000
Cu 0.167 0.500 0.855
Cu 0.500 0.500 0.000
Cu 0.667 0.000 0.855
Au 0.354 0.000 0.187
Au 0.854 0.500 0.187
Cl 0.388 0.000 0.593
Cl 0.888 0.500 0.593

Output
The calculation puts the magnetic moment at 0.00 μB per formula unit. For the total energy, the calculation gives -26.1 eV per cell. Its crystal system is monoclinic. For the density of states at the Fermi level, the calculation gives 1.4 states/eV/f.u. The calculation puts the formation energy without anion corrections at 0.069 eV per atom.

=====

# 6
The following is a DFT calculation (PBE-GGA) of RbPb4Cl8 after structural relaxation.

a b c (Å): 9.043 9.043 9.043
angles (deg): 60.00 60.00 60.00
Atoms (fractional coordinates):
Rb 0.000 0.000 0.000
Pb 0.378 0.378 0.378
Pb 0.378 0.378 0.867
Pb 0.378 0.867 0.378
Pb 0.867 0.378 0.378
Cl 0.144 0.144 0.144
Cl 0.144 0.144 0.569
Cl 0.144 0.569 0.144
Cl 0.179 0.607 0.607
Cl 0.569 0.144 0.144
Cl 0.607 0.179 0.607
Cl 0.607 0.607 0.179
Cl 0.607 0.607 0.607

Output
The calculation puts the magnetic moment at 0.00 μB per formula unit. For the total energy, the calculation gives -45.4 eV per cell. Its crystal system is cubic. For the density of states at the Fermi level, the calculation gives 5.5 states/eV/f.u. The calculation puts the formation energy without anion corrections at -1.138 eV per atom.

=====

# 7
The following is a DFT calculation (PBE-GGA) of Pr2PaBr after structural relaxation.

a b c (Å): 3.409 3.409 34.808
angles (deg): 90.00 90.00 120.00
Atoms (fractional coordinates):
Pr 0.000 0.000 0.095
Pr 0.000 0.000 0.905
Pr 0.333 0.667 0.571
Pr 0.333 0.667 0.762
Pr 0.667 0.333 0.238
Pr 0.667 0.333 0.429
Pa 0.000 0.000 0.000
Pa 0.333 0.667 0.667
Pa 0.667 0.333 0.333
Br 0.000 0.000 0.500
Br 0.333 0.667 0.167
Br 0.667 0.333 0.833

Output
The calculation puts the magnetic moment at 0.00 μB per formula unit. For the total energy, the calculation gives -64.2 eV per cell. Its crystal system is trigonal. For the density of states at the Fermi level, the calculation gives 3.5 states/eV/f.u. The calculation puts the formation energy without anion corrections at -0.171 eV per atom.

=====

# 8
The following is a DFT calculation (PBE-GGA) of PaMnNi after structural relaxation.

a b c (Å): 3.013 3.013 10.925
angles (deg): 90.00 90.00 90.00
Atoms (fractional coordinates):
Pa 0.000 0.000 0.000
Pa 0.500 0.500 0.500
Mn 0.000 0.000 0.305
Mn 0.500 0.500 0.805
Ni 0.000 0.000 0.682
Ni 0.500 0.500 0.182

Output
The calculation puts the magnetic moment at 3.11 μB per formula unit. For the total energy, the calculation gives -48.8 eV per cell. Its crystal system is tetragonal. For the density of states at the Fermi level, the calculation gives 3.6 states/eV/f.u.

=====

# 9
The following is a DFT calculation (PBE-GGA) of CrSi2H2 after structural relaxation.

a b c (Å): 2.726 2.726 12.155
angles (deg): 90.00 90.00 90.00
Atoms (fractional coordinates):
Cr 0.000 0.000 0.000
Cr 0.500 0.500 0.500
Si 0.000 0.000 0.368
Si 0.000 0.000 0.632
Si 0.500 0.500 0.132
Si 0.500 0.500 0.868
H 0.000 0.500 0.250
H 0.000 0.500 0.750
H 0.500 0.000 0.250
H 0.500 0.000 0.750

Output
The calculation puts the magnetic moment at 1.75 μB per formula unit. For the total energy, the calculation gives -50.7 eV per cell. Its crystal system is tetragonal. For the density of states at the Fermi level, the calculation gives 1.9 states/eV/f.u.

=====

# 10
The following is a DFT calculation (PBE-GGA) of BaIO3F after structural relaxation.

a b c (Å): 7.234 7.234 6.104
angles (deg): 90.00 90.00 121.17
Atoms (fractional coordinates):
Ba 0.100 0.900 0.750
Ba 0.900 0.100 0.250
I 0.493 0.507 0.750
I 0.507 0.493 0.250
O 0.299 0.299 0.000
O 0.299 0.299 0.500
O 0.364 0.636 0.250
O 0.636 0.364 0.750
O 0.701 0.701 0.000
O 0.701 0.701 0.500
F 0.095 0.905 0.250
F 0.905 0.095 0.750

Output
The calculation puts the magnetic moment at 0.00 μB per formula unit. For the total energy, the calculation gives -57.5 eV per cell. Its crystal system is orthorhombic. For the density of states at the Fermi level, the calculation gives 0.0 states/eV/f.u. The calculation puts the formation energy without anion corrections at -1.423 eV per atom.

=====

# 11
The following is a DFT calculation (PBE-GGA) of Cs2KAsAu after structural relaxation.

a b c (Å): 7.004 7.004 5.046
angles (deg): 90.00 90.00 90.00
Atoms (fractional coordinates):
Cs 0.000 0.500 0.000
Cs 0.500 0.000 0.000
K 0.000 0.000 0.500
As 0.500 0.500 0.500
Au 0.500 0.500 0.000

Output
The calculation puts the magnetic moment at 0.32 μB per formula unit. For the total energy, the calculation gives -11.4 eV per cell. Its crystal system is tetragonal. For the density of states at the Fermi level, the calculation gives 4.0 states/eV/f.u.

=====

# 12
The following is a DFT calculation (PBE-GGA) of Nd3TlCCl after structural relaxation.

a b c (Å): 8.421 3.782 10.577
angles (deg): 90.00 100.20 90.00
Atoms (fractional coordinates):
Nd 0.084 0.250 0.388
Nd 0.125 0.250 0.873
Nd 0.353 0.750 0.651
Nd 0.647 0.250 0.349
Nd 0.875 0.750 0.127
Nd 0.916 0.750 0.612
Tl 0.291 0.750 0.220
Tl 0.709 0.250 0.780
C 0.145 0.250 0.637
C 0.855 0.750 0.363
Cl 0.375 0.750 0.913
Cl 0.625 0.250 0.087

Output
The calculation puts the magnetic moment at 0.00 μB per formula unit. For the total energy, the calculation gives -62.0 eV per cell. Its crystal system is monoclinic. For the density of states at the Fermi level, the calculation gives 4.9 states/eV/f.u. The calculation puts the formation energy without anion corrections at -0.540 eV per atom.